# 1
Here is an optimized crystal structure of BeTlSe2 from the Alexandria database. Energies are from GGA-PBE.

Results
crystal system: monoclinic
formation energy without anion corrections: -136 kJ/mol of formula units
uncorrected energy: -14.5 eV/cell
relative energy among the computed polymorphs: 0.0569 eV/atom

a = 4.4158 Å, b = 3.8314 Å, c = 6.7220 Å
α = 90.00°, β = 105.32°, γ = 90.00°
Fractional positions:
Be: 0.0000 0.0000 0.0000
Tl: 0.7293 0.5000 0.4114
Se: 0.1979 0.0000 0.3335
Se: 0.8583 0.5000 0.8540

=====

# 2
Here is an optimized crystal structure of Ce4GaHg from the Alexandria database. Energies are from GGA-PBE.

Results
crystal system: orthorhombic
uncorrected energy: -28.3 eV/cell
formation energy from the elements: -0.211 eV/atom
relative energy among the computed polymorphs: 0.0000 eV/atom

a = 5.9511 Å, b = 5.9511 Å, c = 5.9511 Å
α = 127.08°, β = 120.16°, γ = 83.96°
Fractional positions:
Ce: 0.0882 0.8422 0.2459
Ce: 0.4037 0.1578 0.2459
Ce: 0.5963 0.8422 0.7541
Ce: 0.9118 0.1578 0.7541
Ga: 0.0000 0.5000 0.5000
Hg: 0.5000 0.5000 0.0000

=====

# 3
Here is an optimized crystal structure of LiSm3Au2 from the Alexandria database. Energies are from GGA-PBE.

Results
crystal system: trigonal
uncorrected energy: -51.6 eV/cell
formation energy from the elements: -0.525 eV/atom

a = 5.1838 Å, b = 5.1838 Å, c = 12.9473 Å
α = 90.00°, β = 90.00°, γ = 120.00°
Fractional positions:
Li: 0.3333 0.6667 0.1765
Li: 0.6667 0.3333 0.8235
Sm: 0.0000 0.0000 0.2569
Sm: 0.0000 0.0000 0.7431
Sm: 0.3333 0.6667 0.4237
Sm: 0.3333 0.6667 0.9217
Sm: 0.6667 0.3333 0.0783
Sm: 0.6667 0.3333 0.5763
Au: 0.0000 0.0000 0.0000
Au: 0.0000 0.0000 0.5000
Au: 0.3333 0.6667 0.6919
Au: 0.6667 0.3333 0.3081

=====

> What is the formula in the third record?

LiSm3Au2

=====

> uncorrected energy of number 2 (Ce4GaHg)?

-28.3 eV/cell

=====

> uncorrected energy of number 3 (LiSm3Au2)?

-51.6 eV/cell

=====

> What is the uncorrected energy in the second record?

-28.3 eV/cell